## LaTb3Sm7 (PBE-GGA)

Data for a geometry-optimized LaTb3Sm7 structure.

Geometry as POSCAR:
```
LaTb3Sm7
1.0
7.068 0.000 0.000
0.000 5.663 0.000
-3.353 0.000 9.450
La Tb Sm
1 3 7
Direct
0.000 0.000 0.000 La
0.277 0.500 0.497 Tb
0.500 0.000 0.000 Tb
0.723 0.500 0.503 Tb
0.000 0.000 0.500 Sm
0.145 0.500 0.790 Sm
0.329 0.500 0.142 Sm
0.423 0.000 0.331 Sm
0.577 0.000 0.669 Sm
0.671 0.500 0.858 Sm
0.855 0.500 0.210 Sm
```

Summary:
SG: P2/m, No. 10
Excess energy over the best structure of this formula in the dataset in meV/atom: 0.0
Raw total energy in Ry/atom: -0.338
Formation energy in meV/atom: 122